(1)
DFT (PBE) results for a geometry-optimized Pm3MgBi2 structure.

```
6
Lattice="4.575 0.000 0.000 0.000 4.575 0.000 0.000 0.000 8.872" Properties=species:S:1:pos:R:3 pbc="T T T"
Pm 0.000 0.000 0.000
Pm 0.000 2.288 5.802
Pm 2.288 0.000 3.069
Mg 2.288 2.288 0.000
Bi 0.000 2.288 2.512
Bi 2.288 0.000 6.360
```

Distance to the lowest polymorph of the same formula, eV per atom: 0.000
E_form, eV per formula unit: -3.670
Total magnetization, Bohr magnetons per cell: 0.0

---

(2)
DFT (PBE) results for a geometry-optimized Pm5MgBi4 structure.

```
10
Lattice="-5.122 5.122 3.230 5.122 -5.122 3.230 5.122 5.122 -3.230" Properties=species:S:1:pos:R:3 pbc="T T T"
Pm 0.000 0.000 0.000
Pm 6.206 1.921 0.004
Pm 1.921 4.038 0.004
Pm 3.202 1.084 3.235
Pm -1.084 3.202 3.235
Mg 0.000 0.000 3.230
Bi 3.051 1.054 0.004
Bi 4.068 -2.072 3.235
Bi 1.054 7.194 0.004
Bi 2.072 4.068 3.235
```

E_form, eV per formula unit: -6.633
Total magnetization, Bohr magnetons per cell: 0.5

---

(3)
DFT (PBE) results for a geometry-optimized Pm5MgBi2 structure.

```
16
Lattice="2.799 -6.066 0.000 2.799 6.066 0.000 0.000 0.000 15.542" Properties=species:S:1:pos:R:3 pbc="T T T"
Pm 2.799 5.291 9.328
Pm 2.799 5.291 13.985
Pm 2.799 1.511 8.496
Pm 2.799 1.511 14.817
Pm 2.799 0.945 3.885
Pm 2.799 -0.945 11.656
Pm 2.799 -1.511 0.725
Pm 2.799 -1.511 7.046
Pm 2.799 -5.291 1.557
Pm 2.799 -5.291 6.214
Mg 2.799 2.612 11.656
Mg 2.799 -2.612 3.885
Bi 2.799 3.519 1.926
Bi 2.799 3.519 5.844
Bi 2.799 -3.519 9.697
Bi 2.799 -3.519 13.615
```

E_form, eV per formula unit: -1.931
Total magnetization, Bohr magnetons per cell: 0.0

---

(4)
DFT (PBE) results for a geometry-optimized PmMg3Bi3 structure.

```
14
Lattice="4.148 2.395 7.544 -4.148 2.395 7.544 0.000 -4.790 7.544" Properties=species:S:1:pos:R:3 pbc="T T T"
Pm 0.000 0.000 3.767
Pm 0.000 0.000 18.866
Mg -2.813 0.010 8.532
Mg -1.415 -2.431 14.101
Mg 1.398 -2.441 8.532
Mg -1.398 2.441 14.101
Mg 1.415 2.431 8.532
Mg 2.813 -0.010 14.101
Bi -1.362 -2.345 9.585
Bi -2.712 0.007 13.048
Bi -1.350 2.352 9.585
Bi 1.350 -2.352 13.048
Bi 2.712 -0.007 9.585
Bi 1.362 2.345 13.048
```

E_form, eV per formula unit: -2.886
Total magnetization, Bohr magnetons per cell: 0.0

---

(5)
DFT (PBE) results for a geometry-optimized Pm6Mg5Bi structure.

```
12
Lattice="-2.749 3.839 8.271 2.749 -3.839 8.271 2.749 3.839 -8.271" Properties=species:S:1:pos:R:3 pbc="T T T"
Pm 2.749 1.912 -2.778
Pm 0.000 1.914 0.000
Pm 2.749 1.912 2.778
Pm 0.000 1.927 5.493
Pm 0.000 5.764 0.000
Pm 0.000 1.927 11.048
Mg 2.749 0.000 0.000
Mg 0.000 0.000 2.742
Mg 2.749 0.000 5.417
Mg 0.000 3.839 2.854
Mg 0.000 0.000 13.799
Bi 0.000 0.000 8.271
```

E_form, eV per formula unit: -2.653
Total magnetization, Bohr magnetons per cell: 0.0

---

(6)
DFT (PBE) results for a geometry-optimized PmMg4Bi structure.

```
6
Lattice="0.000 4.289 4.289 4.289 0.000 4.289 4.289 4.289 0.000" Properties=species:S:1:pos:R:3 pbc="T T T"
Pm 0.000 0.000 0.000
Mg 3.215 3.215 3.215
Mg 5.363 5.363 3.215
Mg 5.363 3.215 5.363
Mg 3.215 5.363 5.363
Bi 6.434 6.434 6.434
```

E_form, eV per formula unit: -0.345
Total magnetization, Bohr magnetons per cell: 0.0

---

(7)
DFT (PBE) results for a geometry-optimized Pm3Mg12Bi5 structure.

```
80
Lattice="-8.914 8.914 8.914 8.914 -8.914 8.914 8.914 8.914 -8.914" Properties=species:S:1:pos:R:3 pbc="T T T"
Pm 4.457 2.228 0.000
Pm 8.914 4.457 -2.228
Pm 2.228 0.000 4.457
Pm 11.142 0.000 4.457
Pm 0.000 4.457 2.228
Pm 4.457 -2.228 8.914
Pm 4.457 11.142 0.000
Pm 8.914 4.457 6.685
Pm -2.228 8.914 4.457
Pm 6.685 8.914 4.457
Pm 0.000 4.457 11.142
Pm 4.457 6.685 8.914
Mg 2.611 -0.511 1.332
Mg 10.759 5.788 -4.967
Mg 8.403 -1.332 2.611
Mg 13.881 -1.846 3.125
Mg 11.525 0.511 1.332
Mg 10.759 -3.125 4.967
Mg 1.332 2.611 -0.511
Mg 12.039 3.946 -1.846
Mg 5.788 4.967 -1.846
Mg 7.582 2.611 0.511
Mg -0.511 1.332 2.611
Mg 4.967 -1.846 5.788
Mg 8.403 7.582 -2.611
Mg 4.967 1.846 3.125
Mg 7.582 -2.611 8.403
Mg 5.788 -4.967 10.759
Mg 3.125 4.967 1.846
Mg 10.245 6.303 0.511
Mg 2.611 8.403 -1.332
Mg 10.759 3.125 3.946
Mg 4.967 10.759 -3.125
Mg 8.403 1.332 6.303
Mg 1.846 3.125 4.967
Mg 2.611 0.511 7.582
Mg 6.303 8.403 1.332
Mg 7.068 5.788 3.946
Mg 0.511 7.582 2.611
Mg 3.946 -1.846 12.039
Mg -1.846 5.788 4.967
Mg 6.303 0.511 10.245
Mg -1.332 2.611 8.403
Mg 5.788 3.946 7.068
Mg 3.125 13.881 -1.846
Mg 1.332 11.525 0.511
Mg 3.946 7.068 5.788
Mg 0.511 1.332 11.525
Mg 3.946 10.759 3.125
Mg 9.424 7.582 6.303
Mg 1.332 6.303 8.403
Mg 3.125 3.946 10.759
Mg -3.125 4.967 10.759
Mg 7.582 6.303 9.424
Mg -1.846 12.039 3.946
Mg -2.611 8.403 7.582
Mg -4.967 10.759 5.788
Mg 0.511 10.245 6.303
Mg -1.846 3.125 13.881
Mg 6.303 9.424 7.582
Bi 0.000 0.000 0.000
Bi 4.457 4.457 -4.457
Bi 4.457 -4.457 4.457
Bi 8.914 0.000 0.000
Bi 13.370 2.228 0.000
Bi 8.914 -4.457 6.685
Bi 6.685 8.914 -4.457
Bi 6.685 0.000 4.457
Bi 4.457 6.685 0.000
Bi 8.914 4.457 2.228
Bi -4.457 4.457 4.457
Bi 0.000 8.914 0.000
Bi 0.000 0.000 8.914
Bi 4.457 4.457 4.457
Bi 0.000 4.457 6.685
Bi 4.457 2.228 8.914
Bi 2.228 8.914 4.457
Bi 2.228 0.000 13.370
Bi 0.000 13.370 2.228
Bi -4.457 6.685 8.914
```

E_form, eV per formula unit: 5.612
Total magnetization, Bohr magnetons per cell: 0.0

---

(8)
DFT (PBE) results for a geometry-optimized PmMgBi2 structure.

```
4
Lattice="5.173 0.000 0.000 0.000 5.173 0.000 0.000 0.000 4.298" Properties=species:S:1:pos:R:3 pbc="T T T"
Pm 0.000 0.000 0.000
Mg 2.587 2.587 0.000
Bi 0.000 2.587 2.149
Bi 2.587 0.000 2.149
```

Distance to the lowest polymorph of the same formula, eV per atom: 0.041
E_form, eV per formula unit: -1.947
Total magnetization, Bohr magnetons per cell: 0.0

---

(9)
DFT (PBE) results for a geometry-optimized Pm3MgBi4 structure.

```
8
Lattice="6.443 0.000 0.000 0.000 6.443 0.000 0.000 0.000 6.443" Properties=species:S:1:pos:R:3 pbc="T T T"
Pm 0.000 0.000 3.221
Pm 0.000 3.221 0.000
Pm 3.221 0.000 0.000
Mg 3.221 3.221 3.221
Bi 0.000 0.000 0.000
Bi 0.000 3.221 3.221
Bi 3.221 0.000 3.221
Bi 3.221 3.221 0.000
```

E_form, eV per formula unit: -5.231
Total magnetization, Bohr magnetons per cell: 0.0

---

(10)
DFT (PBE) results for a geometry-optimized PmMgBi structure.

```
3
Lattice="4.874 0.000 0.000 -2.437 4.221 0.000 0.000 0.000 4.155" Properties=species:S:1:pos:R:3 pbc="T T T"
Pm 0.000 0.000 0.000
Mg 0.000 2.814 2.049
Bi 2.437 1.407 2.093
```

Distance to the lowest polymorph of the same formula, eV per atom: 0.000
E_form, eV per formula unit: -1.292
Total magnetization, Bohr magnetons per cell: 0.0

---

(11)
DFT (PBE) results for a geometry-optimized PmMgBi3 structure.

```
20
Lattice="13.972 0.000 0.000 0.000 6.515 0.000 0.000 0.000 6.554" Properties=species:S:1:pos:R:3 pbc="T T T"
Pm 2.529 0.010 1.638
Pm 2.529 3.248 4.915
Pm 11.443 3.267 1.638
Pm 11.443 6.506 4.915
Mg 5.408 4.886 0.000
Mg 5.408 4.886 3.277
Mg 8.565 1.629 0.000
Mg 8.565 1.629 3.277
Bi 0.033 4.886 0.000
Bi 0.033 4.886 3.277
Bi 3.312 0.034 4.915
Bi 3.312 3.224 1.638
Bi 5.865 1.125 1.638
Bi 5.865 2.133 4.915
Bi 8.107 4.382 1.638
Bi 8.107 5.391 4.915
Bi 10.660 3.292 4.915
Bi 10.660 6.481 1.638
Bi 13.939 1.629 0.000
Bi 13.939 1.629 3.277
```

E_form, eV per formula unit: -2.159
Total magnetization, Bohr magnetons per cell: 0.0

---

(12)
DFT (PBE) results for a geometry-optimized PmMgBi structure.

```
3
Lattice="-1.941 1.941 5.733 1.941 -1.941 5.733 1.941 1.941 -5.733" Properties=species:S:1:pos:R:3 pbc="T T T"
Pm 0.000 0.000 0.000
Mg 0.000 0.000 3.655
Bi 0.000 0.000 7.865
```

Distance to the lowest polymorph of the same formula, eV per atom: 0.123
E_form, eV per formula unit: -0.923
Total magnetization, Bohr magnetons per cell: 0.1

---

Question: Which value of E_form does entry 11 give?
Answer: -2.159 eV per formula unit

---

Repeat the third record exactly.
DFT (PBE) results for a geometry-optimized Pm5MgBi2 structure.

```
16
Lattice="2.799 -6.066 0.000 2.799 6.066 0.000 0.000 0.000 15.542" Properties=species:S:1:pos:R:3 pbc="T T T"
Pm 2.799 5.291 9.328
Pm 2.799 5.291 13.985
Pm 2.799 1.511 8.496
Pm 2.799 1.511 14.817
Pm 2.799 0.945 3.885
Pm 2.799 -0.945 11.656
Pm 2.799 -1.511 0.725
Pm 2.799 -1.511 7.046
Pm 2.799 -5.291 1.557
Pm 2.799 -5.291 6.214
Mg 2.799 2.612 11.656
Mg 2.799 -2.612 3.885
Bi 2.799 3.519 1.926
Bi 2.799 3.519 5.844
Bi 2.799 -3.519 9.697
Bi 2.799 -3.519 13.615
```

E_form, eV per formula unit: -1.931
Total magnetization, Bohr magnetons per cell: 0.0